Material: TaAlSi
Method: DFT, PBE-GGA
State: optimized geometry

## Properties
N(E_F) (states/eV/atom): 0.59
Crystal system: orthorhombic
Uncorrected energy (eV per cell): -20.97
Calculated density (Mg/m³): 8.12

Lattice parameters (Å, degrees): 6.698 6.593 2.779 80.04 75.83 24.12
Positions (direct):
Si  0.330  0.330  0.670
Ta  0.670  0.670  0.330
Al  0.000  0.000  0.000